DFT (PBE) results for a relaxed YPaAl crystal.

Unit cell a=3.217 b=3.217 c=7.452 alpha=102.46 beta=102.46 gamma=90.00
Sites, in units of the cell vectors:
Y: 0.013 0.013 0.026
Pa: 0.319 0.319 0.637
Al: 0.668 0.668 0.336

Volume = 73.4 Å³ per cell
Total energy = -19.86 eV/cell
Distance to the lowest polymorph of the same formula = 0 meV per atom
Energy of formation = -0.15 eV per formula unit
DOS at the Fermi energy = 5.2 states/eV/cell


DFT (PBE) results for a relaxed FeTcN3 crystal.

Unit cell a=3.852 b=3.852 c=3.852 alpha=90.00 beta=90.00 gamma=90.00
Each line ends with the local moment (μB).
Sites, in units of the cell vectors:
N: 0.000 0.500 0.000  0.09
N: 0.000 0.000 0.500  0.12
N: 0.500 0.000 0.000  0.07
Tc: 0.000 0.000 0.000  -0.09
Fe: 0.500 0.500 0.500  3.42

Volume = 57.1 Å³ per cell
Total energy = -38.24 eV/cell
Formation energy without anion corrections = 5.57 eV/f.u.
DOS at the Fermi energy = 4.4 states/eV/cell


DFT (PBE) results for a relaxed Al3ReH crystal.

Unit cell a=4.818 b=4.818 c=4.818 alpha=90.00 beta=90.00 gamma=90.00
Each line ends with the local moment (μB).
Sites, in units of the cell vectors:
Re: 0.000 0.000 0.000  0.13
Al: 0.000 0.500 0.000  0.00
Al: 0.000 0.000 0.500  0.00
Al: 0.500 0.000 0.000  0.02
H: 0.500 0.500 0.500  0.33

Volume = 111.8 Å³ per cell
Total energy = -23.06 eV/cell
Distance to the lowest polymorph of the same formula = 714 meV per atom
DOS at the Fermi energy = 2.0 states/eV/cell